A relaxed Cd3ReBi crystal. Source: the Alexandria database, functional PBE.

Unit cell a=5.7310 b=5.7310 c=5.7310 alpha=90.00 beta=90.00 gamma=90.00
Last column: nearest neighbours and their distance in Å.
Positions (direct):
1 Cd 0.5000 0.0000 0.0000  2 Bi 2.87
2 Cd 0.0000 0.0000 0.5000  2 Bi 2.87
3 Bi 0.0000 0.0000 0.0000  6 Cd 2.87
4 Re 0.5000 0.5000 0.5000  12 Cd 4.05
5 Cd 0.0000 0.5000 0.0000  2 Bi 2.87

SG   Pm-3m (221)
ΔE_f   1.645 eV per atom
E   -2.17 eV/atom
Fermi-level density of states   3.3 states/eV per cell